VASP calculation (PBE with a Hubbard U) on a geometry-optimized Ba2NaV2O6 structure.

The structure belongs to space group R-3m (No. 166, hexagonal axes); the cell edges are 6.0992, 6.0992 and 17.9996 Å and the angles 90.00°, 90.00° and 120.00°. The inequivalent atoms are Ba at (0.0000, 0.0000, 0.2108), Na at (0.0000, 0.0000, 0.0000), V at (0.0000, 0.0000, 0.4219) and O at (0.0020, 0.5010, 0.2421).

For the total energy, the calculation gives -72.800 eV/f.u. The density is 4.257 Mg/m³. The total magnetic moment comes out at 3.00 μB/cell.